Arrangement a

# TaTeCl2, relaxed, DFT PBE-GGA
# Magnetic moment in μB per formula unit: 0.0
data_TaTeCl2
_cell_length_a 3.5410
_cell_length_b 3.5410
_cell_length_c 25.4675
_cell_angle_alpha 90.00
_cell_angle_beta 90.00
_cell_angle_gamma 120.00
_space_group_name_H-M_alt 'R 3 m'
_space_group_IT_number 160
_space_group_name_Hall 'R 3 -2"'
loop_
_atom_site_label
_atom_site_fract_x
_atom_site_fract_y
_atom_site_fract_z
_atom_site_occupancy
Ta1 0.0000 0.0000 0.0000 1
Te1 0.0000 0.0000 0.7414 1
Cl1 0.0000 0.0000 0.2717 1
Cl2 0.0000 0.0000 0.4931 1

***

Arrangement b

# TaTeCl2, relaxed, DFT PBE-GGA
# Magnetic moment in μB per formula unit: 0.0
data_TaTeCl2
_cell_length_a 3.051
_cell_length_b 3.051
_cell_length_c 10.034
_cell_angle_alpha 90.00
_cell_angle_beta 90.00
_cell_angle_gamma 90.00
_space_group_name_H-M_alt 'P 4/m m m'
_space_group_IT_number 123
_space_group_name_Hall '-P 4 2'
loop_
_atom_site_label
_atom_site_fract_x
_atom_site_fract_y
_atom_site_fract_z
_atom_site_occupancy
Ta1 0.000 0.000 0.000 1
Te1 0.000 0.000 0.500 1
Cl1 0.500 0.500 0.153 1

***

Energies relative to the most stable structure are arrangement a 0; arrangement b 106, reported in meV per atom.